Entry from Alexandria: crystalline Cs2UPdO6 at its relaxed geometry (GGA-PBE).

Results
* formation energy (no corrections): -1691 kJ/mol of formula units
* uncorrected energy: -6.546 eV/atom
* SG: Fm-3m, No. 225
* total moment: 0.00 μB per cell

Cell: 6.011 6.011 6.011 Å, 60.00 60.00 60.00°
Fractional coordinates of all 10 atoms:
Cs1 0.250 0.250 0.250
Cs2 0.750 0.750 0.750
U1 0.000 0.000 0.000
Pd1 0.500 0.500 0.500
O1 0.247 0.247 0.753
O2 0.247 0.753 0.247
O3 0.247 0.753 0.753
O4 0.753 0.247 0.247
O5 0.753 0.247 0.753
O6 0.753 0.753 0.247